CsLaCo2F8 | GGA+U | relaxed

```
data_CsLaCo2F8
_cell_length_a 5.1699
_cell_length_b 5.4312
_cell_length_c 7.9067
_cell_angle_alpha 76.82
_cell_angle_beta 74.40
_cell_angle_gamma 88.55
_symmetry_space_group_name_H-M 'P -1'
_symmetry_Int_Tables_number 2
loop_
_symmetry_equiv_pos_as_xyz
'x,y,z'
'-x,-y,-z'
loop_
_atom_site_label
_atom_site_type_symbol
_atom_site_fract_x
_atom_site_fract_y
_atom_site_fract_z
Cs1 Cs 0.0000 0.0000 0.0000
La1 La 0.0000 0.0000 0.5000
Co1 Co 0.4870 0.4896 0.3198
F1 F 0.2455 0.3187 0.2344
F2 F 0.2593 0.3400 0.5893
F3 F 0.2910 0.8010 0.6752
F4 F 0.2985 0.7988 0.2835
```

Calculated values
VASP energy (eV/atom): -5.25